The following is a DFT calculation (PBE with a Hubbard U) of crystalline NiRu3F at its relaxed geometry.

ΔE to the lowest computed polymorph = 366 meV/atom
Electronic total energy = -4.683 eV per atom
Fermi-level density of states = 3.09 states/eV/cell

a = 4.5244 Å, b = 4.5244 Å, c = 4.5244 Å
α = 90.00°, β = 90.00°, γ = 90.00°
Last column: magnetic moment on the atom in μB.
Sites, in units of the cell vectors:
Ru (0.0000, 0.5000, 0.0000)  2.42
Ru (0.0000, 0.0000, 0.5000)  2.71
Ru (0.5000, 0.0000, 0.0000)  1.80
Ni (0.0000, 0.0000, 0.0000)  1.12
F (0.5000, 0.5000, 0.5000)  0.20